## BaSr3Mn4O12 (GGA+U)

Data for crystalline BaSr3Mn4O12 at its relaxed geometry.

Uncorrected energy: -0.2522 hartree per atom
Total magnetization: 12.050 Bohr magnetons per cell

CIF file:
```
data_BaSr3Mn4O12
_space_group_name_H-M_alt 'P -6 m 2'
_space_group_IT_number 187
_space_group_name_Hall 'P -6 2'
_cell_length_a 5.5892
_cell_length_b 5.5892
_cell_length_c 9.3373
_cell_angle_alpha 90.00
_cell_angle_beta 90.00
_cell_angle_gamma 120.00
loop_
_atom_site_label
_atom_site_fract_x
_atom_site_fract_y
_atom_site_fract_z
Ba1 0.0000 0.0000 0.0000
Sr1 0.3333 0.6667 0.2670
Sr2 0.6667 0.3333 0.5000
Mn1 0.0000 0.0000 0.3629
Mn2 0.6667 0.3333 0.1378
O1 0.1519 0.3038 0.5000
O2 0.3376 0.1688 0.2558
O3 0.5171 0.0343 0.0000
```